An optimized crystal structure of La7Ag2Au2. Source: Alexandria via LeMat-Bulk, functional PBE.

Summary:
energy relative to the elements	-205	meV/atom
V	354	Å³/f.u.

The structure in POSCAR format:
```
La7Ag2Au2
1.0
4.049 -5.744 0.000
4.049 5.744 0.000
0.000 0.000 7.600
La Ag Au
7 2 2
direct
0.000 0.000 0.000 La
0.000 0.500 0.291 La
0.000 0.500 0.709 La
0.500 0.000 0.291 La
0.500 0.000 0.709 La
0.500 0.500 0.264 La
0.500 0.500 0.736 La
0.169 0.169 0.500 Ag
0.831 0.831 0.500 Ag
0.284 0.716 0.000 Au
0.716 0.284 0.000 Au
```